This record from Alexandria via LeMat-Bulk describes a geometry-optimized Cs2Mn3MoF12 structure. The functional is PBE+U.

a = 7.811 Å, b = 7.811 Å, c = 7.811 Å
α = 58.44°, β = 58.44°, γ = 58.44°
Fractional positions:
Cs: 0.120 0.120 0.120
Cs: 0.880 0.880 0.880
Mn: 0.000 0.500 0.500
Mn: 0.500 0.000 0.500
Mn: 0.500 0.500 0.000
Mo: 0.500 0.500 0.500
F: 0.172 0.578 0.578
F: 0.189 0.189 0.571
F: 0.189 0.571 0.189
F: 0.422 0.422 0.828
F: 0.422 0.828 0.422
F: 0.429 0.811 0.811
F: 0.571 0.189 0.189
F: 0.578 0.172 0.578
F: 0.578 0.578 0.172
F: 0.811 0.429 0.811
F: 0.811 0.811 0.429
F: 0.828 0.422 0.422

Summary:
The total magnetization is 0.9444 μB per atom. The value obtained for the density is 3.9 g/cm3. The value obtained for the uncorrected energy is -5.69 eV per atom. As for the space group: R-3m.